The following is a PBE-GGA calculation of an optimized crystal structure of Pr3Si, from Alexandria via LeMat-Bulk.

Unit cell a=6.180 b=12.484 c=12.484 alpha=90.00 beta=90.00 gamma=90.00
Atoms (fractional coordinates):
Pr1 0.007 0.278 0.824
Pr2 0.007 0.722 0.176
Pr3 0.507 0.676 0.778
Pr4 0.507 0.324 0.222
Pr5 0.493 0.222 0.676
Pr6 0.493 0.778 0.324
Pr7 0.993 0.824 0.722
Pr8 0.993 0.176 0.278
Pr9 0.518 0.384 0.919
Pr10 0.518 0.616 0.081
Pr11 0.018 0.581 0.884
Pr12 0.018 0.419 0.116
Pr13 0.982 0.116 0.581
Pr14 0.982 0.884 0.419
Pr15 0.482 0.919 0.616
Pr16 0.482 0.081 0.384
Pr17 0.735 0.034 0.865
Pr18 0.735 0.966 0.135
Pr19 0.235 0.635 0.534
Pr20 0.235 0.365 0.466
Pr21 0.765 0.466 0.635
Pr22 0.765 0.534 0.365
Pr23 0.265 0.865 0.966
Pr24 0.265 0.135 0.034
Si1 0.776 0.797 0.955
Si2 0.776 0.203 0.045
Si3 0.276 0.545 0.297
Si4 0.276 0.455 0.703
Si5 0.724 0.703 0.545
Si6 0.724 0.297 0.455
Si7 0.224 0.955 0.203
Si8 0.224 0.045 0.797

Values from the calculation:
E_form (uncorrected)	-0.36	eV/atom
polymorph energy (0 for the lowest one)	0.000	eV per atom
total magnetic moment	0.0000	μB/atom